No. 1
The following is a PBE calculation of a geometry-optimized Tc2TeMo structure, from the Alexandria database.

Computed properties:
Total moment = 0.000 μB/f.u.
E_form (uncorrected) = 0.589 eV per atom
Total energy = -8.09 eV/atom
Crystal system = orthorhombic

a = 2.9242 Å, b = 2.9242 Å, c = 8.9010 Å
α = 90.00°, β = 90.00°, γ = 113.05°
Closest atoms and distances in Å follow each position.
Atoms (fractional coordinates):
Tc 0.0000 0.0000 0.2244  2 Mo 2.57
Tc 0.0000 0.0000 0.7756  2 Mo 2.57
Te 0.5000 0.5000 0.5000  6 Te 2.92-3.23, 4 Tc 2.94
Mo 0.5000 0.5000 0.0000  4 Tc 2.57

=====

No. 2
The following is a PBE calculation of a geometry-optimized Ho2ErAu4 structure, from the Alexandria database.

Computed properties:
Calculated formation energy = -0.7370 eV/atom
Total moment = 0.000 μB/f.u.
Total energy = -4.57 eV/atom
Crystal system = orthorhombic

a = 6.0206 Å, b = 6.0206 Å, c = 4.8949 Å
α = 90.00°, β = 90.00°, γ = 104.30°
Closest atoms and distances in Å follow each position.
Atoms (fractional coordinates):
Ho 0.2127 0.7873 0.0000  8 Au 2.96-3.13
Ho 0.7873 0.2127 0.0000  8 Au 2.96-3.13
Er 0.5000 0.5000 0.5000  8 Au 2.89-3.01
Au 0.0000 0.5000 0.5000  2 Er 3.01, 4 Ho 3.09
Au 0.2925 0.2925 0.0000  2 Er 2.89, 4 Ho 2.96-3.13, 1 Au 3.07
Au 0.5000 0.0000 0.5000  2 Er 3.01, 4 Ho 3.09
Au 0.7075 0.7075 0.0000  2 Er 2.89, 4 Ho 2.96-3.13, 1 Au 3.07